[1]
DFT (PBE) results for a relaxed structure of PmAl3Pd2.

Computed properties:
The calculation puts the energy of formation from the pure elements at -0.783 eV per atom. The space group is Cmcm, No. 63. The density of states at the Fermi level is 5.18 states/eV per cell. Its distance to the lowest polymorph of the same formula is 14 meV per atom.

The structure in CIF format:
```
data_PmAl3Pd2
_cell_length_a 6.461
_cell_length_b 6.461
_cell_length_c 5.484
_cell_angle_alpha 90.00
_cell_angle_beta 90.00
_cell_angle_gamma 78.51
_space_group_name_H-M_alt 'P 1'
_space_group_IT_number 1
_space_group_name_Hall 'P 1'
loop_
_atom_site_label
_atom_site_fract_x
_atom_site_fract_y
_atom_site_fract_z
_atom_site_occupancy
Pm1 0.158 0.842 0.750 1
Pm2 0.842 0.158 0.250 1
Al1 0.039 0.599 0.250 1
Al2 0.401 0.961 0.250 1
Al3 0.452 0.548 0.250 1
Al4 0.548 0.452 0.750 1
Al5 0.599 0.039 0.750 1
Al6 0.961 0.401 0.750 1
Pd1 0.288 0.288 0.000 1
Pd2 0.288 0.288 0.500 1
Pd3 0.712 0.712 0.000 1
Pd4 0.712 0.712 0.500 1
```



[2]
DFT (PBE) results for a relaxed structure of Pr3YRh3.

Computed properties:
The calculation puts the energy of formation from the pure elements at -0.549 eV per atom. The space group is C2/m, No. 12. The density of states at the Fermi level is 9.59 states/eV per cell.

The structure in CIF format:
```
data_Pr3YRh3
_cell_length_a 7.064
_cell_length_b 7.064
_cell_length_c 7.207
_cell_angle_alpha 90.43
_cell_angle_beta 90.43
_cell_angle_gamma 96.96
_space_group_name_H-M_alt 'P 1'
_space_group_IT_number 1
_space_group_name_Hall 'P 1'
loop_
_atom_site_label
_atom_site_fract_x
_atom_site_fract_y
_atom_site_fract_z
_atom_site_occupancy
Pr1 0.180 0.820 0.000 1
Pr2 0.250 0.750 0.500 1
Pr3 0.333 0.333 0.127 1
Pr4 0.667 0.667 0.873 1
Pr5 0.750 0.250 0.500 1
Pr6 0.820 0.180 0.000 1
Y1 0.241 0.241 0.627 1
Y2 0.759 0.759 0.373 1
Rh1 0.009 0.500 0.773 1
Rh2 0.064 0.064 0.305 1
Rh3 0.500 0.009 0.773 1
Rh4 0.500 0.991 0.227 1
Rh5 0.936 0.936 0.695 1
Rh6 0.991 0.500 0.227 1
```



[3]
DFT (PBE) results for a relaxed structure of CaRe2Cl.

Computed properties:
The space group is P4/mmm, No. 123. As for the formation energy without anion corrections: 286 meV/atom. The density of states at the Fermi level is 4.03 states/eV per cell. Its distance to the lowest polymorph of the same formula is 422 meV per atom.

The structure in CIF format:
```
data_CaRe2Cl
_cell_length_a 3.611
_cell_length_b 3.611
_cell_length_c 6.535
_cell_angle_alpha 90.00
_cell_angle_beta 90.00
_cell_angle_gamma 90.00
_space_group_name_H-M_alt 'P 1'
_space_group_IT_number 1
_space_group_name_Hall 'P 1'
loop_
_atom_site_label
_atom_site_fract_x
_atom_site_fract_y
_atom_site_fract_z
_atom_site_occupancy
Ca1 0.000 0.000 0.000 1
Re1 0.000 0.500 0.500 1
Re2 0.500 0.000 0.500 1
Cl1 0.500 0.500 0.000 1
```



[4]
DFT (PBE) results for a relaxed structure of ZrNiGeC2.

Computed properties:
The calculation puts the energy of formation from the pure elements at 1.829 eV per atom. The space group is P4/mmm, No. 123. The density of states at the Fermi level is 4.54 states/eV per cell.

The structure in CIF format:
```
data_ZrNiGeC2
_cell_length_a 4.238
_cell_length_b 4.238
_cell_length_c 4.968
_cell_angle_alpha 90.00
_cell_angle_beta 90.00
_cell_angle_gamma 90.00
_space_group_name_H-M_alt 'P 1'
_space_group_IT_number 1
_space_group_name_Hall 'P 1'
loop_
_atom_site_label
_atom_site_fract_x
_atom_site_fract_y
_atom_site_fract_z
_atom_site_occupancy
Zr1 0.000 0.000 0.000 1
Ni1 0.000 0.000 0.500 1
Ge1 0.500 0.500 0.500 1
C1 0.000 0.500 0.000 1
C2 0.500 0.000 0.000 1
```